# 1
A plane-wave DFT calculation with PBE was carried out for a relaxed Tb5Th2N5 crystal.

Cell lengths 3.4334, 6.0957, 12.3237 Å; angles 106.83, 90.00, 106.36 degrees
Closest atoms and distances in Å follow each position.
Fractional coordinates of all 12 atoms:
Tb1 0.5000 0.0000 0.5000  4 N 2.51
Tb2 0.2746 0.5493 0.6212  3 N 2.32-2.46
Tb3 0.7254 0.4507 0.3788  3 N 2.32-2.46
Tb4 0.6501 0.3001 0.0605  5 N 2.31-2.59
Tb5 0.3499 0.6999 0.9395  5 N 2.31-2.59
N1 0.0000 0.0000 0.0000  4 Tb 2.41
N2 0.8787 0.7575 0.5658  5 Tb 2.32-2.51
N3 0.3234 0.6467 0.1178  3 Tb 2.31-2.59, 2 Th 2.35
N4 0.1213 0.2425 0.4342  5 Tb 2.32-2.51
N5 0.6766 0.3533 0.8822  3 Tb 2.31-2.59, 2 Th 2.35
Th1 0.0479 0.0957 0.7884  2 N 2.35
Th2 0.9521 0.9043 0.2116  2 N 2.35

As for the spin magnetization: 0.00 μB per cell. The value obtained for the final energy is -7.7545 eV per atom. As for the formation energy (no corrections): -1.12 eV per atom. As for the density of states at the Fermi level: 0.68 states/eV/atom.



# 2
A plane-wave DFT calculation with PBE was carried out for a relaxed Pu2PaMn crystal.

Cell lengths 3.1610, 5.1655, 5.1655 Å; angles 90.00, 90.00, 90.00 degrees
Closest atoms and distances in Å follow each position.
Fractional coordinates of all 4 atoms:
Pu1 0.0000 0.0000 0.5000  4 Mn 3.03, 4 Pa 3.03, 2 Pu 3.16
Pu2 0.0000 0.5000 0.0000  4 Mn 3.03, 4 Pa 3.03, 2 Pu 3.16
Pa1 0.5000 0.5000 0.5000  8 Pu 3.03, 2 Pa 3.16
Mn1 0.5000 0.0000 0.0000  8 Pu 3.03, 2 Mn 3.16

As for the spin magnetization: 7.18 μB per cell. The formation energy from the elements is 0.19 eV per atom. The value obtained for the final energy is -11.6450 eV per atom. The energy above the most stable polymorph in this dataset is 115.4 meV/atom. As for the density of states at the Fermi level: 3.01 states/eV/atom.



# 3
A plane-wave DFT calculation with PBE was carried out for a relaxed Hf6OsAu crystal.

Cell lengths 7.9111, 7.5103, 5.4550 Å; angles 46.49, 43.47, 58.18 degrees
Closest atoms and distances in Å follow each position.
Fractional coordinates of all 8 atoms:
Os1 0.0000 0.0000 0.0000  6 Hf 2.77
Hf1 0.4572 0.7554 0.7967  2 Hf 2.74-2.80, 1 Os 2.77, 1 Au 3.03
Hf2 0.2443 0.0088 0.2897  2 Hf 2.73-2.80, 1 Os 2.77, 1 Au 3.03
Hf3 0.0085 0.4578 0.7780  2 Hf 2.73-2.80, 1 Os 2.77, 1 Au 3.03
Hf4 0.5428 0.2446 0.2033  2 Hf 2.74-2.80, 1 Os 2.77, 1 Au 3.03
Hf5 0.9915 0.5422 0.2220  2 Hf 2.73-2.80, 1 Os 2.77, 1 Au 3.03
Hf6 0.7557 0.9912 0.7103  2 Hf 2.73-2.80, 1 Os 2.77, 1 Au 3.03
Au1 0.5000 0.5000 0.5000  12 Hf 3.03-3.10

As for the spin magnetization: 0.00 μB per cell. The formation energy from the elements is -0.24 eV per atom. The value obtained for the final energy is -9.5203 eV per atom. As for the density of states at the Fermi level: 0.76 states/eV/atom.



# 4
A plane-wave DFT calculation with PBE was carried out for a relaxed YFeTcBi2 crystal.

Cell lengths 5.7788, 4.9197, 5.7788 Å; angles 90.00, 90.00, 90.00 degrees
Closest atoms and distances in Å follow each position.
Fractional coordinates of all 5 atoms:
Y1 0.0000 0.0000 0.0000  2 Tc 2.46
Bi1 0.5000 0.0000 0.0000  2 Y 2.89
Bi2 0.0000 0.0000 0.5000  2 Y 2.89
Fe1 0.5000 0.5000 0.5000  8 Bi 3.79, 4 Tc 4.09
Tc1 0.0000 0.5000 0.0000  2 Y 2.46

As for the spin magnetization: 1.93 μB per cell. The formation energy from the elements is 1.92 eV per atom. The value obtained for the final energy is -4.6926 eV per atom. As for the density of states at the Fermi level: 1.64 states/eV/atom.



# 5
A plane-wave DFT calculation with PBE was carried out for a relaxed CrAg2P crystal.

Cell lengths 8.9964, 8.9964, 8.9964 Å; angles 19.09, 19.09, 19.09 degrees
Closest atoms and distances in Å follow each position.
Fractional coordinates of all 4 atoms:
Cr1 0.2500 0.2500 0.2500  6 Ag 2.85, 6 Cr 2.98
Ag1 0.0023 0.0023 0.0023  3 P 2.75, 3 Cr 2.85, 6 Ag 2.98
Ag2 0.4977 0.4977 0.4977  3 P 2.75, 3 Cr 2.85, 6 Ag 2.98
P1 0.7500 0.7500 0.7500  6 Ag 2.75, 6 P 2.98

As for the spin magnetization: 3.90 μB per cell. The formation energy from the elements is 0.55 eV per atom. The value obtained for the final energy is -4.6303 eV per atom. As for the density of states at the Fermi level: 0.74 states/eV/atom.